1.
This record from OQMD via LeMat-Bulk describes a geometry-optimized Cu2Ag3 structure. The functional is GGA-PBE.

Results
The value obtained for the formation energy is 0.47 eV per formula unit. The energy above the lowest structure with this stoichiometry is 61 meV per atom. The value obtained for the theoretical density is 9.6 g cm⁻³.

```
Cu2Ag3
1.0
4.4796 -1.9560 0.0000
4.4796 1.9560 0.0000
-0.0505 0.0000 8.8853
Cu Ag
4 6
Cartesian
0.0000 0.0000 0.0000 Cu
2.7641 0.0000 0.8153 Cu
3.6327 0.0000 7.2445 Cu
4.4924 0.0000 4.5231 Cu
0.8637 0.0000 6.3167 Ag
1.7904 0.0000 3.5862 Ag
5.3683 0.0000 1.7304 Ag
6.3338 0.0000 8.0703 Ag
7.2192 0.0000 5.3890 Ag
8.0677 0.0000 2.6256 Ag
```

2.
This record from OQMD via LeMat-Bulk describes a geometry-optimized ScBeGaFe structure. The functional is GGA-PBE.

Results
The energy above the lowest structure with this stoichiometry is 0 meV per atom. The value obtained for the theoretical density is 5.5 g cm⁻³. For the total moment, the calculation gives 6.04 μB per cell.

```
ScBeGaFe
1.0
6.0199 0.0000 0.0000
0.0000 6.0199 0.0000
0.0000 0.0000 6.0199
Sc Be Ga Fe
4 4 4 4
Cartesian
0.0000 0.0000 0.0000 Sc
0.0000 3.0100 3.0100 Sc
3.0100 0.0000 3.0100 Sc
3.0100 3.0100 0.0000 Sc
1.5050 1.5050 1.5050 Be
1.5050 4.5149 4.5149 Be
4.5149 1.5050 4.5149 Be
4.5149 4.5149 1.5050 Be
1.5050 1.5050 4.5149 Ga
1.5050 4.5149 1.5050 Ga
4.5149 1.5050 1.5050 Ga
4.5149 4.5149 4.5149 Ga
0.0000 0.0000 3.0100 Fe
0.0000 3.0100 0.0000 Fe
3.0100 0.0000 0.0000 Fe
3.0100 3.0100 3.0100 Fe
```

3.
This record from OQMD via LeMat-Bulk describes a geometry-optimized LiNdDy structure. The functional is GGA-PBE.

Results
For the uncorrected energy, the calculation gives -3.262 eV/atom. The value obtained for the theoretical density is 5.6 g cm⁻³. For the total moment, the calculation gives 5.65 μB per cell.

```
LiNdDy
1.0
7.2050 0.0000 0.0000
0.0000 7.2050 0.0000
0.0000 0.0000 7.2050
Li Nd Dy
4 4 4
Cartesian
0.0000 0.0000 0.0000 Li
0.0000 3.6025 3.6025 Li
3.6025 0.0000 3.6025 Li
3.6025 3.6025 0.0000 Li
1.8013 1.8013 1.8013 Nd
1.8013 5.4038 5.4038 Nd
5.4038 1.8013 5.4038 Nd
5.4038 5.4038 1.8013 Nd
1.8013 1.8013 5.4038 Dy
1.8013 5.4038 1.8013 Dy
5.4038 1.8013 1.8013 Dy
5.4038 5.4038 5.4038 Dy
```

4.
This record from OQMD via LeMat-Bulk describes a geometry-optimized BiOs structure. The functional is GGA-PBE.

Results
The energy above the lowest structure with this stoichiometry is 0 meV per atom. The value obtained for the theoretical density is 14.5 g cm⁻³. For the total moment, the calculation gives 1.08 μB per cell.

```
BiOs
1.0
5.3137 0.0000 0.0000
0.0000 4.4316 0.0000
0.0000 0.0000 7.7643
Bi Os
4 4
Cartesian
1.3284 0.0000 1.1726 Bi
1.3284 2.2158 5.8296 Bi
3.9853 0.0000 6.5918 Bi
3.9853 2.2158 1.9347 Bi
0.0000 0.0000 3.8822 Os
1.3284 2.2158 3.0202 Os
2.6569 0.0000 3.8822 Os
3.9853 2.2158 4.7441 Os
```